No. 1
A plane-wave DFT calculation with GGA-PBE was carried out for a geometry-optimized K3RbO structure.

abc: 7.4382 7.4382 7.4382
angles: 90.00 90.00 90.00
Last column: nearest neighbours and their distance in Å.
Positions (direct):
K1 0.0000 0.0000 0.5000  2 Rb 3.72
K2 0.0000 0.5000 0.0000  2 Rb 3.72
K3 0.5000 0.0000 0.0000  2 Rb 3.72
Rb1 0.0000 0.0000 0.0000  6 K 3.72
O1 0.5000 0.5000 0.5000  12 K 5.26

Computed properties:
Energy above the lowest structure with this stoichiometry in meV/atom: 1271.0

=====

No. 2
A plane-wave DFT calculation with GGA-PBE was carried out for a geometry-optimized K2RbO structure.

abc: 7.2486 7.3229 8.0277
angles: 79.54 71.24 60.36
Last column: nearest neighbours and their distance in Å.
Positions (direct):
K1 0.0449 0.3833 0.1889  2 O 2.65
K2 0.4348 0.6032 0.1895  2 O 2.65
K3 0.5652 0.3968 0.8105  2 O 2.65
K4 0.9551 0.6167 0.8111  2 O 2.65
Rb1 0.1847 0.0066 0.7914  2 O 2.82
Rb2 0.8153 0.9934 0.2086  2 O 2.82
O1 0.1708 0.6582 0.0003  4 K 2.65, 2 Rb 2.82
O2 0.8292 0.3418 0.9997  4 K 2.65, 2 Rb 2.82

=====

| no. | DFT total energy (eV per atom) | formation energy from raw total energies (eV per atom) | DOS(E_F) (states/eV per cell) |
| --- | --- | --- | --- |
| 1 | -1.17 | 0.6694 | 1.5 |
| 2 | -2.80 | -0.7701 | 2.8 |